(1)
Material: Li3Tm3SbS8
Method: DFT, PBE
State: optimized geometry

a = 7.7195 Å, b = 7.7195 Å, c = 18.4939 Å
α = 90.00°, β = 90.00°, γ = 120.00°
Last column: nearest neighbours and their distance in Å.
Space group R-3m (No. 166, hexagonal axes)
Asymmetric unit:
Li: 0.0000 0.5000 0.0000 (multiplicity 9)  6 S 2.71-2.72
Tm: 0.0000 0.5000 0.5000 (multiplicity 9)  6 S 2.70-2.71
Sb: 0.0000 0.0000 0.5000 (multiplicity 3)  6 S 2.64
S: 0.0000 0.0000 0.2488 (multiplicity 6)  3 Tm 2.70, 3 Li 2.72
S: 0.0090 0.5045 0.2477 (multiplicity 18)  1 Sb 2.64, 2 Li 2.71, 2 Tm 2.71

Results
The raw formation energy is -1.507 eV/atom. Its total energy is -5.260 eV/atom. The spin magnetization comes out at 0.00 μB per formula unit.

***

(2)
Material: Li3U3SbS8
Method: DFT, PBE
State: optimized geometry

a = 7.8559 Å, b = 7.8559 Å, c = 18.5420 Å
α = 90.00°, β = 90.00°, γ = 120.00°
Last column: nearest neighbours and their distance in Å.
Space group R-3m (No. 166, hexagonal axes)
Asymmetric unit:
Li: 0.0000 0.5000 0.0000 (multiplicity 9)  6 S 2.72-2.75
U: 0.0000 0.5000 0.5000 (multiplicity 9)  6 S 2.74-2.76
Sb: 0.0000 0.0000 0.5000 (multiplicity 3)  6 S 2.74
S: 0.0000 0.0000 0.2519 (multiplicity 6)  3 Li 2.72, 3 U 2.76
S: 0.0005 0.5003 0.7505 (multiplicity 18)  2 U 2.74, 1 Sb 2.74, 2 Li 2.75

Results
The raw formation energy is -1.162 eV/atom. Its total energy is -6.279 eV/atom. The spin magnetization comes out at 8.00 μB per formula unit.

***

(3)
Material: LiUSb2S6
Method: DFT, PBE
State: optimized geometry

a = 6.8535 Å, b = 7.4143 Å, c = 11.9996 Å
α = 90.00°, β = 124.57°, γ = 90.00°
Last column: nearest neighbours and their distance in Å.
Space group P2_1/c (No. 14)
Asymmetric unit:
Li: 0.0000 0.0000 0.0000 (multiplicity 2)  6 S 2.64-2.78
U: 0.5000 0.0000 0.5000 (multiplicity 2)  6 S 2.60-2.69
Sb: 0.1899 0.1161 0.6820 (multiplicity 4)  4 S 2.54-2.84
S: 0.1362 0.0561 0.2533 (multiplicity 4)  1 U 2.60, 1 Li 2.66, 1 Sb 2.67
S: 0.2048 0.6834 0.0389 (multiplicity 4)  2 Sb 2.54-2.84, 1 Li 2.64, 1 U 2.69
S: 0.3934 0.2173 0.0878 (multiplicity 4)  1 Sb 2.56, 1 U 2.63, 1 Li 2.78

Results
The raw formation energy is -0.731 eV/atom. Its total energy is -5.352 eV/atom. The spin magnetization comes out at 1.00 μB per formula unit.